Material: SmHo2ErAs4
Method: DFT, PBE
State: optimized geometry

Cell and atoms, written as extended XYZ:
```
8
Lattice="7.1432 0.0000 0.0000 0.0000 4.1270 0.0000 -2.3811 0.0000 6.7347" Properties=species:S:1:pos:R:3 pbc="T T T"
Sm 0.0000 0.0000 0.0000
Ho 2.3810 0.0000 3.3674
Ho 3.5716 2.0635 0.0000
Er -1.1905 2.0635 3.3674
As 0.0193 0.0000 5.0302
As 1.2092 2.0635 1.7188
As 3.5529 2.0635 5.0160
As 4.7428 0.0000 1.7045
```

Computed properties:
- Calculated total energy: -6.151 eV/atom
- Calculated volume: 24.82 A^3/atom
- Energy of formation from the pure elements: -1.522 eV per atom

---

Material: SmHo2Er3As6
Method: DFT, PBE
State: optimized geometry

Cell and atoms, written as extended XYZ:
```
12
Lattice="8.9565 -2.0558 0.0000 8.9565 2.0558 0.0000 -1.8819 0.0000 8.0006" Properties=species:S:1:pos:R:3 pbc="T T T"
Sm 0.0000 0.0000 0.0000
Ho 4.7061 0.0000 5.3292
Ho 11.3250 0.0000 2.6714
Er -0.9410 0.0000 4.0003
Er 5.6628 0.0000 1.3406
Er 10.3683 0.0000 6.6600
As 1.8819 0.0000 4.6694
As 2.8672 0.0000 0.6688
As 8.4768 0.0000 2.0469
As 7.5543 0.0000 5.9537
As 13.1639 0.0000 7.3318
As 14.1492 0.0000 3.3312
```

Computed properties:
- Calculated total energy: -6.142 eV/atom
- Calculated volume: 24.55 A^3/atom
- Energy of formation from the pure elements: -1.521 eV per atom

---

Material: TbHoEr2As4
Method: DFT, PBE
State: optimized geometry

Cell and atoms, written as extended XYZ:
```
8
Lattice="7.1013 0.0000 0.0000 0.0000 4.1019 0.0000 -2.3668 0.0000 6.6956" Properties=species:S:1:pos:R:3 pbc="T T T"
Tb 0.0000 0.0000 0.0000
Ho -1.1834 2.0509 3.3478
Er 2.3672 0.0000 3.3478
Er 3.5506 2.0509 0.0000
As 0.0156 0.0000 5.0190
As 1.1981 2.0509 1.6876
As 3.5363 2.0509 5.0080
As 4.7188 0.0000 1.6766
```

Computed properties:
- Calculated total energy: -6.144 eV/atom
- Calculated volume: 24.38 A^3/atom
- Energy of formation from the pure elements: -1.527 eV per atom

---

Material: Tb3Ho2ErAs6
Method: DFT, PBE
State: optimized geometry

Cell and atoms, written as extended XYZ:
```
12
Lattice="8.9687 -2.0585 0.0000 8.9687 2.0585 0.0000 -1.8840 0.0000 8.0115" Properties=species:S:1:pos:R:3 pbc="T T T"
Tb 0.0000 0.0000 0.0000
Tb 4.7228 0.0000 5.3394
Tb 11.3306 0.0000 2.6722
Ho 5.6664 0.0000 1.3355
Ho 10.3871 0.0000 6.6761
Er -0.9420 0.0000 4.0058
As 1.8730 0.0000 4.6839
As 2.8446 0.0000 0.6576
As 8.4844 0.0000 2.0204
As 7.5690 0.0000 5.9911
As 13.2088 0.0000 7.3540
As 14.1804 0.0000 3.3276
```

Computed properties:
- Calculated total energy: -6.159 eV/atom
- Calculated volume: 24.65 A^3/atom
- Energy of formation from the pure elements: -1.533 eV per atom

---

Material: Tb2Ho3ErAs6
Method: DFT, PBE
State: optimized geometry

Cell and atoms, written as extended XYZ:
```
12
Lattice="8.9552 -2.0552 0.0000 8.9552 2.0552 0.0000 -1.8828 0.0000 7.9988" Properties=species:S:1:pos:R:3 pbc="T T T"
Tb 2.3532 0.0000 2.6632
Tb 13.6745 0.0000 5.3357
Ho 1.4189 0.0000 6.6678
Ho 8.0138 0.0000 3.9994
Ho 14.6088 0.0000 1.3311
Er 8.9552 0.0000 0.0000
As -1.4021 0.0000 6.0090
As 5.1981 0.0000 3.3217
As 4.2479 0.0000 7.3476
As 11.7798 0.0000 0.6512
As 10.8295 0.0000 4.6772
As 17.4298 0.0000 1.9898
```

Computed properties:
- Calculated total energy: -6.152 eV/atom
- Calculated volume: 24.54 A^3/atom
- Energy of formation from the pure elements: -1.531 eV per atom

---

Material: Tb2HoEr3As6
Method: DFT, PBE
State: optimized geometry

Cell and atoms, written as extended XYZ:
```
12
Lattice="8.9419 -2.0523 0.0000 8.9419 2.0523 0.0000 -1.8783 0.0000 7.9874" Properties=species:S:1:pos:R:3 pbc="T T T"
Tb 2.3516 0.0000 2.6592
Tb 13.6540 0.0000 5.3282
Ho 8.9419 0.0000 0.0000
Er 1.4182 0.0000 6.6565
Er 8.0028 0.0000 3.9937
Er 14.5874 0.0000 1.3309
As -1.3917 0.0000 5.9886
As 4.2326 0.0000 7.3421
As 5.1966 0.0000 3.3129
As 10.8090 0.0000 4.6744
As 11.7730 0.0000 0.6453
As 17.3973 0.0000 1.9988
```

Computed properties:
- Calculated total energy: -6.146 eV/atom
- Calculated volume: 24.43 A^3/atom
- Energy of formation from the pure elements: -1.528 eV per atom

---

Material: Tb2HoErAs4
Method: DFT, PBE
State: optimized geometry

Cell and atoms, written as extended XYZ:
```
8
Lattice="7.1258 0.0000 0.0000 0.0000 4.1161 0.0000 -2.3746 0.0000 6.7190" Properties=species:S:1:pos:R:3 pbc="T T T"
Tb 0.0000 0.0000 0.0000
Tb -1.1873 2.0581 3.3595
Ho 2.3756 0.0000 3.3595
Er 3.5629 2.0581 0.0000
As 0.0196 0.0000 5.0495
As 1.2070 2.0581 1.6827
As 4.7316 0.0000 1.6695
As 3.5443 2.0581 5.0364
```

Computed properties:
- Calculated total energy: -6.158 eV/atom
- Calculated volume: 24.63 A^3/atom
- Energy of formation from the pure elements: -1.533 eV per atom

---

Material: TbHo2ErAs4
Method: DFT, PBE
State: optimized geometry

Cell and atoms, written as extended XYZ:
```
8
Lattice="7.1091 0.0000 0.0000 0.0000 4.1065 0.0000 -2.3691 0.0000 6.7030" Properties=species:S:1:pos:R:3 pbc="T T T"
Tb 0.0000 0.0000 0.0000
Ho -1.1846 2.0532 3.3515
Ho 2.3700 0.0000 3.3515
Er 3.5545 2.0532 0.0000
As 0.0117 0.0000 5.0265
As 1.1967 2.0532 1.6839
As 4.7282 0.0000 1.6765
As 3.5432 2.0532 5.0191
```

Computed properties:
- Calculated total energy: -6.148 eV/atom
- Calculated volume: 24.46 A^3/atom
- Energy of formation from the pure elements: -1.529 eV per atom

---

Material: Tb3HoEr2As6
Method: DFT, PBE
State: optimized geometry

Cell and atoms, written as extended XYZ:
```
12
Lattice="3.5628 -6.1694 0.0000 3.5628 6.1694 0.0000 -2.3715 0.0000 6.7169" Properties=species:S:1:pos:R:3 pbc="T T T"
Tb 0.0000 0.0000 0.0000
Tb 3.5628 2.0550 0.0000
Tb 3.5628 -2.0550 0.0000
Ho 2.3770 0.0000 3.3585
Er 2.3770 4.1129 3.3585
Er 2.3770 -4.1129 3.3585
As 1.1865 2.0601 1.7008
As -0.0013 0.0000 5.0160
As 1.1865 -2.0601 1.7008
As 3.5676 2.0601 5.0161
As 4.7554 0.0000 1.7009
As 3.5676 -2.0601 5.0161
```

Computed properties:
- Calculated total energy: -6.156 eV/atom
- Calculated volume: 24.61 A^3/atom
- Energy of formation from the pure elements: -1.532 eV per atom

---

Material: HoErTeAs
Method: DFT, PBE
State: optimized geometry

Cell and atoms, written as extended XYZ:
```
12
Lattice="4.1147 0.0000 0.0000 -2.0573 3.5634 0.0000 0.0000 0.0000 21.7763" Properties=species:S:1:pos:R:3 pbc="T T T"
Ho 0.0000 0.0000 0.0000
Ho 0.0000 2.3756 14.5175
Ho 2.0573 1.1878 7.2587
Er 0.0000 0.0000 4.1314
Er 0.0000 2.3756 18.6489
Er 2.0573 1.1878 11.3901
Te 0.0000 0.0000 9.3186
Te 0.0000 2.3756 2.0599
Te 2.0573 1.1878 16.5774
As 0.0000 0.0000 12.9910
As 0.0000 2.3756 5.7323
As 2.0573 1.1878 20.2498
```

Computed properties:
- Calculated total energy: -5.664 eV/atom
- Calculated volume: 26.61 A^3/atom
- E_form (uncorrected): -1.43 eV/atom

---

Material: HoEr2ThAs4
Method: DFT, PBE
State: optimized geometry

Cell and atoms, written as extended XYZ:
```
8
Lattice="7.1492 0.0000 0.0000 0.0000 4.1409 0.0000 -2.3864 0.0000 6.7434" Properties=species:S:1:pos:R:3 pbc="T T T"
Ho 0.0000 0.0000 0.0000
Er 2.3814 0.0000 3.3717
Er 3.5746 2.0705 0.0000
Th -1.1932 2.0705 3.3717
As 1.2233 2.0705 1.6706
As 0.0351 0.0000 5.1030
As 4.7277 0.0000 1.6404
As 3.5395 2.0705 5.0728
```

Computed properties:
- Calculated total energy: -6.466 eV/atom
- Calculated volume: 24.95 A^3/atom
- Energy of formation from the pure elements: -1.501 eV per atom

---

Material: HoEr2Tm3As6
Method: DFT, PBE
State: optimized geometry

Cell and atoms, written as extended XYZ:
```
12
Lattice="8.8803 -2.0379 0.0000 8.8803 2.0379 0.0000 -1.8652 0.0000 7.9331" Properties=species:S:1:pos:R:3 pbc="T T T"
Ho 0.0000 0.0000 0.0000
Er 4.6752 0.0000 5.2883
Er 11.2201 0.0000 2.6448
Tm -0.9326 0.0000 3.9666
Tm 5.6101 0.0000 1.3236
Tm 10.2853 0.0000 6.6095
As 1.8662 0.0000 4.6324
As 2.8161 0.0000 0.6563
As 8.4071 0.0000 1.9953
As 7.4883 0.0000 5.9378
As 13.0792 0.0000 7.2768
As 14.0292 0.0000 3.3007
```

Computed properties:
- Calculated total energy: -6.099 eV/atom
- Calculated volume: 23.93 A^3/atom
- Energy of formation from the pure elements: -1.514 eV per atom

---

Material: Ho3ErTm2As6
Method: DFT, PBE
State: optimized geometry

Cell and atoms, written as extended XYZ:
```
12
Lattice="8.8995 -2.0424 0.0000 8.8995 2.0424 0.0000 -1.8692 0.0000 7.9505" Properties=species:S:1:pos:R:3 pbc="T T T"
Ho 0.0000 0.0000 0.0000
Ho 4.6876 0.0000 5.3026
Ho 11.2422 0.0000 2.6479
Er -0.9346 0.0000 3.9752
Tm 5.6194 0.0000 1.3256
Tm 10.3103 0.0000 6.6249
As 1.8701 0.0000 4.6485
As 2.8230 0.0000 0.6503
As 8.4206 0.0000 1.9910
As 7.5092 0.0000 5.9594
As 13.1068 0.0000 7.3001
As 14.0597 0.0000 3.3020
```

Computed properties:
- Calculated total energy: -6.114 eV/atom
- Calculated volume: 24.09 A^3/atom
- Energy of formation from the pure elements: -1.519 eV per atom

---

Material: HoEr3Tm2As6
Method: DFT, PBE
State: optimized geometry

Cell and atoms, written as extended XYZ:
```
12
Lattice="8.8874 -2.0396 0.0000 8.8874 2.0396 0.0000 -1.8670 0.0000 7.9392" Properties=species:S:1:pos:R:3 pbc="T T T"
Ho 0.0000 0.0000 0.0000
Er -0.9335 0.0000 3.9696
Er 5.6160 0.0000 1.3254
Er 10.2919 0.0000 6.6137
Tm 4.6768 0.0000 5.2911
Tm 11.2312 0.0000 2.6480
As 2.8114 0.0000 0.6698
As 1.8796 0.0000 4.6248
As 8.4263 0.0000 1.9931
As 7.4816 0.0000 5.9461
As 14.0283 0.0000 3.3143
As 13.0965 0.0000 7.2694
```

Computed properties:
- Calculated total energy: -6.109 eV/atom
- Calculated volume: 23.99 A^3/atom
- Energy of formation from the pure elements: -1.516 eV per atom

---

Material: Ho3Er2TmAs6
Method: DFT, PBE
State: optimized geometry

Cell and atoms, written as extended XYZ:
```
12
Lattice="8.9073 -2.0443 0.0000 8.9073 2.0443 0.0000 -1.8710 0.0000 7.9571" Properties=species:S:1:pos:R:3 pbc="T T T"
Ho 0.0000 0.0000 0.0000
Ho 4.6891 0.0000 5.3038
Ho 11.2544 0.0000 2.6533
Er 5.6281 0.0000 1.3268
Er 10.3154 0.0000 6.6303
Tm -0.9355 0.0000 3.9786
As 1.8663 0.0000 4.6456
As 2.8189 0.0000 0.6585
As 8.4334 0.0000 2.0015
As 7.5101 0.0000 5.9556
As 13.1246 0.0000 7.2986
As 14.0772 0.0000 3.3115
```

Computed properties:
- Calculated total energy: -6.124 eV/atom
- Calculated volume: 24.15 A^3/atom
- Energy of formation from the pure elements: -1.522 eV per atom

---

Material: Ho2ErTmAs4
Method: DFT, PBE
State: optimized geometry

Cell and atoms, written as extended XYZ:
```
8
Lattice="7.0763 0.0000 0.0000 0.0000 4.0873 0.0000 -2.3578 0.0000 6.6720" Properties=species:S:1:pos:R:3 pbc="T T T"
Ho 0.0000 0.0000 0.0000
Ho -1.1789 2.0436 3.3360
Er 2.3593 0.0000 3.3360
Tm 3.5381 2.0436 0.0000
As 0.0120 0.0000 5.0121
As 1.1904 2.0436 1.6676
As 4.7065 0.0000 1.6599
As 3.5281 2.0436 5.0044
```

Computed properties:
- Calculated total energy: -6.120 eV/atom
- Calculated volume: 24.12 A^3/atom
- Energy of formation from the pure elements: -1.521 eV per atom

---

Material: HoErTm2As4
Method: DFT, PBE
State: optimized geometry

Cell and atoms, written as extended XYZ:
```
8
Lattice="7.0604 0.0000 0.0000 0.0000 4.0782 0.0000 -2.3525 0.0000 6.6571" Properties=species:S:1:pos:R:3 pbc="T T T"
Ho 0.0000 0.0000 0.0000
Er -1.1762 2.0391 3.3286
Tm 2.3540 0.0000 3.3286
Tm 3.5302 2.0391 0.0000
As 0.0124 0.0000 4.9933
As 1.1882 2.0391 1.6722
As 4.6955 0.0000 1.6639
As 3.5197 2.0391 4.9849
```

Computed properties:
- Calculated total energy: -6.100 eV/atom
- Calculated volume: 23.96 A^3/atom
- Energy of formation from the pure elements: -1.515 eV per atom

---

Material: HoErU2As4
Method: DFT, PBE
State: optimized geometry

Cell and atoms, written as extended XYZ:
```
8
Lattice="7.0246 0.0000 0.0000 0.0000 4.0547 0.0000 -2.3403 0.0000 6.7717" Properties=species:S:1:pos:R:3 pbc="T T T"
Ho 0.0000 0.0000 0.0000
Er 3.5123 2.0273 0.0000
U -1.1702 2.0273 3.3859
U 2.3421 0.0000 3.3859
As 1.1748 2.0273 1.6909
As 0.0048 0.0000 5.0837
As 4.6794 0.0000 1.6880
As 3.5094 2.0273 5.0808
```

Computed properties:
- Calculated total energy: -7.420 eV/atom
- Calculated volume: 24.11 A^3/atom
- Energy of formation from the pure elements: -1.130 eV per atom

---

Material: Ho2ErUAs4
Method: DFT, PBE
State: optimized geometry

Cell and atoms, written as extended XYZ:
```
8
Lattice="7.0789 0.0000 0.0000 0.0000 4.0749 0.0000 -2.3287 0.0000 6.6867" Properties=species:S:1:pos:R:3 pbc="T T T"
Ho 0.0000 0.0000 0.0000
Ho 3.5395 2.0374 0.0000
Er -1.1643 2.0374 3.3434
U 2.3751 0.0000 3.3434
As 0.0408 0.0000 4.9945
As 1.1891 2.0374 1.6819
As 4.7095 0.0000 1.6922
As 3.5611 2.0374 5.0048
```

Computed properties:
- Calculated total energy: -6.772 eV/atom
- Calculated volume: 24.11 A^3/atom
- Energy of formation from the pure elements: -1.321 eV per atom

---

Material: YHoEr2As4
Method: DFT, PBE
State: optimized geometry

Cell and atoms, written as extended XYZ:
```
8
Lattice="7.0951 0.0000 0.0000 0.0000 4.0982 0.0000 -2.3639 0.0000 6.6899" Properties=species:S:1:pos:R:3 pbc="T T T"
Y 0.0000 0.0000 0.0000
Ho -1.1819 2.0491 3.3449
Er 2.3656 0.0000 3.3449
Er 3.5476 2.0491 0.0000
As 0.0144 0.0000 5.0160
As 1.1954 2.0491 1.6833
As 4.7169 0.0000 1.6739
As 3.5358 2.0491 5.0066
```

Computed properties:
- Calculated total energy: -6.377 eV/atom
- Calculated volume: 24.32 A^3/atom
- Energy of formation from the pure elements: -1.532 eV per atom